Record 1
{
  "formula": "Ho2PbAu",
  "functional": "GGA-PBE",
  "state": "optimized geometry",
  "cell": [[3.7289, 0.0000, 0.0000], [0.0000, 23.4782, 0.0000], [0.0000, 0.0000, 4.9278]],
  "species": ["Ho", "Ho", "Ho", "Ho", "Ho", "Ho", "Ho", "Ho", "Pb", "Pb", "Pb", "Pb", "Au", "Au", "Au", "Au"],
  "fractional_positions": [[0.0000, 0.0601, 0.2500], [0.0000, 0.3332, 0.2500], [0.0000, 0.6668, 0.7500], [0.0000, 0.9399, 0.7500], [0.5000, 0.1668, 0.7500], [0.5000, 0.4399, 0.7500], [0.5000, 0.5601, 0.2500], [0.5000, 0.8332, 0.2500], [0.0000, 0.1957, 0.2500], [0.0000, 0.8043, 0.7500], [0.5000, 0.3043, 0.7500], [0.5000, 0.6957, 0.2500], [0.0000, 0.4594, 0.2500], [0.0000, 0.5406, 0.7500], [0.5000, 0.0406, 0.7500], [0.5000, 0.9594, 0.2500]],
  "formation_energy_ev_per_atom": -0.5720,
  "magnetic_moment_mub_per_atom": 0.000
}

Record 2
{
  "formula": "LiAs2Rh2",
  "functional": "GGA-PBE",
  "state": "optimized geometry",
  "cell": [[4.3723, 0.0000, 0.0000], [0.0000, 4.3723, 0.0000], [0.0000, 0.0000, 9.6676]],
  "species": ["Li", "Li", "As", "As", "As", "As", "Rh", "Rh", "Rh", "Rh"],
  "fractional_positions": [[0.0000, 0.0000, 0.0000], [0.5000, 0.5000, 0.5000], [0.0000, 0.5000, 0.2500], [0.0000, 0.5000, 0.7500], [0.5000, 0.0000, 0.2500], [0.5000, 0.0000, 0.7500], [0.0000, 0.0000, 0.3647], [0.0000, 0.0000, 0.6353], [0.5000, 0.5000, 0.1353], [0.5000, 0.5000, 0.8647]],
  "formation_energy_ev_per_atom": -0.2367,
  "e_above_lowest_polymorph_mev_per_atom": 292,
  "magnetic_moment_mub_per_atom": 0.000
}

Record 3
{
  "formula": "Li3Ca2Cd3",
  "functional": "GGA-PBE",
  "state": "optimized geometry",
  "cell": [[8.1812, 0.0000, 0.0000], [-4.0906, 7.0852, 0.0000], [0.0000, 0.0000, 3.5115]],
  "species": ["Li", "Li", "Li", "Ca", "Ca", "Cd", "Cd", "Cd"],
  "fractional_positions": [[0.0000, 0.2211, 0.0000], [0.2211, 0.0000, 0.0000], [0.7789, 0.7789, 0.0000], [0.3333, 0.6667, 0.0000], [0.6667, 0.3333, 0.0000], [0.0000, 0.6750, 0.5000], [0.3250, 0.3250, 0.5000], [0.6750, 0.0000, 0.5000]],
  "formation_energy_ev_per_atom": -0.1289,
  "magnetic_moment_mub_per_atom": 0.000
}

Record 4
{
  "formula": "CdIr2W",
  "functional": "GGA-PBE",
  "state": "optimized geometry",
  "cell": [[7.2928, 0.0000, 0.0000], [0.0000, 7.2928, 0.0000], [0.0000, 0.0000, 5.5768]],
  "species": ["Cd", "Cd", "Cd", "Cd", "Ir", "Ir", "Ir", "Ir", "Ir", "Ir", "Ir", "Ir", "W", "W", "W", "W"],
  "fractional_positions": [[0.0000, 0.0000, 0.0000], [0.0000, 0.5000, 0.2500], [0.5000, 0.0000, 0.7500], [0.5000, 0.5000, 0.5000], [0.2055, 0.2500, 0.6250], [0.2500, 0.7055, 0.8750], [0.2500, 0.7945, 0.3750], [0.2945, 0.2500, 0.1250], [0.7055, 0.7500, 0.1250], [0.7500, 0.2055, 0.3750], [0.7500, 0.2945, 0.8750], [0.7945, 0.7500, 0.6250], [0.0000, 0.0000, 0.5000], [0.0000, 0.5000, 0.7500], [0.5000, 0.0000, 0.2500], [0.5000, 0.5000, 0.0000]],
  "formation_energy_ev_per_atom": 0.5411,
  "magnetic_moment_mub_per_atom": 0.000
}

Record 5
{
  "formula": "Rb2AgRh",
  "functional": "GGA-PBE",
  "state": "optimized geometry",
  "cell": [[8.0343, 0.0000, 0.0000], [0.0000, 8.0343, 0.0000], [0.0000, 0.0000, 8.0343]],
  "species": ["Rb", "Rb", "Rb", "Rb", "Rb", "Rb", "Rb", "Rb", "Ag", "Ag", "Ag", "Ag", "Rh", "Rh", "Rh", "Rh"],
  "fractional_positions": [[0.2500, 0.2500, 0.2500], [0.2500, 0.2500, 0.7500], [0.2500, 0.7500, 0.2500], [0.2500, 0.7500, 0.7500], [0.7500, 0.2500, 0.2500], [0.7500, 0.2500, 0.7500], [0.7500, 0.7500, 0.2500], [0.7500, 0.7500, 0.7500], [0.0000, 0.0000, 0.0000], [0.0000, 0.5000, 0.5000], [0.5000, 0.0000, 0.5000], [0.5000, 0.5000, 0.0000], [0.0000, 0.0000, 0.5000], [0.0000, 0.5000, 0.0000], [0.5000, 0.0000, 0.0000], [0.5000, 0.5000, 0.5000]],
  "formation_energy_ev_per_atom": 0.8023,
  "e_above_lowest_polymorph_mev_per_atom": 0,
  "magnetic_moment_mub_per_atom": 0.000
}

Record 6
{
  "formula": "KBi2Se2",
  "functional": "GGA-PBE",
  "state": "optimized geometry",
  "cell": [[4.5996, 0.0000, 0.0000], [0.0000, 4.5996, 0.0000], [0.0000, 0.0000, 14.9955]],
  "species": ["K", "K", "Bi", "Bi", "Bi", "Bi", "Se", "Se", "Se", "Se"],
  "fractional_positions": [[0.0000, 0.0000, 0.0000], [0.5000, 0.5000, 0.5000], [0.0000, 0.5000, 0.2500], [0.0000, 0.5000, 0.7500], [0.5000, 0.0000, 0.2500], [0.5000, 0.0000, 0.7500], [0.0000, 0.0000, 0.4152], [0.0000, 0.0000, 0.5848], [0.5000, 0.5000, 0.0848], [0.5000, 0.5000, 0.9152]],
  "e_above_lowest_polymorph_mev_per_atom": 75,
  "e_form_raw_ev_per_atom": -0.316,
  "magnetic_moment_mub_per_atom": 0.000
}

Record 7
{
  "formula": "Pm3Pd2Rh2",
  "functional": "GGA-PBE",
  "state": "optimized geometry",
  "cell": [[2.3164, 1.3374, 8.2785], [-2.3164, 1.3374, 8.2785], [0.0000, -2.6747, 8.2785]],
  "species": ["Pm", "Pm", "Pm", "Pd", "Pd", "Rh", "Rh"],
  "fractional_positions": [[0.0000, 0.0000, 0.0000], [0.4299, 0.4299, 0.4299], [0.5701, 0.5701, 0.5701], [0.1769, 0.1769, 0.1769], [0.8231, 0.8231, 0.8231], [0.2931, 0.2931, 0.2931], [0.7069, 0.7069, 0.7069]],
  "formation_energy_ev_per_atom": -0.6613,
  "magnetic_moment_mub_per_atom": 0.000
}

Record 8
{
  "formula": "Ca2TlHg3",
  "functional": "GGA-PBE",
  "state": "optimized geometry",
  "cell": [[4.0428, 0.0000, 0.0000], [0.0000, 4.5241, 0.0000], [0.0000, 0.0000, 19.4886]],
  "species": ["Ca", "Ca", "Ca", "Ca", "Tl", "Tl", "Hg", "Hg", "Hg", "Hg", "Hg", "Hg"],
  "fractional_positions": [[0.0000, 0.0000, 0.0000], [0.0000, 0.5000, 0.2161], [0.5000, 0.0000, 0.7161], [0.5000, 0.5000, 0.5000], [0.0000, 0.0000, 0.4061], [0.5000, 0.5000, 0.9061], [0.0000, 0.0000, 0.5611], [0.0000, 0.5000, 0.6492], [0.0000, 0.5000, 0.7978], [0.5000, 0.0000, 0.1492], [0.5000, 0.0000, 0.2978], [0.5000, 0.5000, 0.0611]],
  "formation_energy_ev_per_atom": -0.3083,
  "e_above_lowest_polymorph_mev_per_atom": 100,
  "magnetic_moment_mub_per_atom": 0.000
}